[1]
Material: Ca6PH8
Method: DFT, PBE-GGA
State: optimized geometry

a = 7.4413 Å, b = 7.4413 Å, c = 7.4413 Å
α = 53.04°, β = 53.04°, γ = 53.04°
Last column: nearest neighbours and their distance in Å.
Sites, in units of the cell vectors:
1 Ca 0.1131 0.4060 0.7476  4 H 2.26-2.39
2 Ca 0.2524 0.8869 0.5940  4 H 2.26-2.39
3 Ca 0.4060 0.7476 0.1131  4 H 2.26-2.39
4 Ca 0.5940 0.2524 0.8869  4 H 2.26-2.39
5 Ca 0.7476 0.1131 0.4060  4 H 2.26-2.39
6 Ca 0.8869 0.5940 0.2524  4 H 2.26-2.39
7 P 0.0000 0.0000 0.0000  6 Ca 2.77
8 H 0.0929 0.7893 0.4895  4 Ca 2.26-2.39
9 H 0.2107 0.5105 0.9071  4 Ca 2.26-2.39
10 H 0.3491 0.3491 0.3491  3 Ca 2.53
11 H 0.4895 0.0929 0.7893  4 Ca 2.26-2.39
12 H 0.5105 0.9071 0.2107  4 Ca 2.26-2.39
13 H 0.6509 0.6509 0.6509  3 Ca 2.53
14 H 0.7893 0.4895 0.0929  4 Ca 2.26-2.39
15 H 0.9071 0.2107 0.5105  4 Ca 2.26-2.39

**Theoretical density**: 1.903 Mg/m³
**Magnetic moment**: 1.01 μB/cell
**Space-group type**: R-3
**DFT total energy**: -0.1306 Ha/atom
**V**: 16.3 Å³ per atom

---

[2]
Material: Na2HgBi2
Method: DFT, PBE-GGA
State: optimized geometry

a = 9.8885 Å, b = 5.0238 Å, c = 7.2998 Å
α = 90.00°, β = 124.20°, γ = 90.00°
Last column: nearest neighbours and their distance in Å.
Sites, in units of the cell vectors:
1 Na 0.1001 0.0000 0.3222  3 Hg 3.23-3.40, 4 Bi 3.42-3.60
2 Na 0.3999 0.5000 0.6778  3 Hg 3.23-3.40, 4 Bi 3.42-3.60
3 Na 0.6001 0.5000 0.3222  3 Hg 3.23-3.40, 4 Bi 3.42-3.60
4 Na 0.8999 0.0000 0.6778  3 Hg 3.23-3.40, 4 Bi 3.42-3.60
5 Hg 0.0000 0.5000 0.5000  6 Na 3.23-3.40, 2 Bi 3.56
6 Hg 0.5000 0.0000 0.5000  6 Na 3.23-3.40, 2 Bi 3.56
7 Bi 0.1878 0.5000 0.0836  3 Bi 3.19-3.32, 3 Na 3.42-3.43, 1 Hg 3.56
8 Bi 0.3122 0.0000 0.9164  3 Bi 3.19-3.32, 3 Na 3.42-3.43, 1 Hg 3.56
9 Bi 0.6878 0.0000 0.0836  3 Bi 3.19-3.32, 3 Na 3.42-3.43, 1 Hg 3.56
10 Bi 0.8122 0.5000 0.9164  3 Bi 3.19-3.32, 3 Na 3.42-3.43, 1 Hg 3.56

**Theoretical density**: 7.358 Mg/m³
**Magnetic moment**: 0.00 μB/cell
**Space-group type**: C2/m
**Relative energy among the computed polymorphs**: 17 meV/atom
**DFT total energy**: -0.0860 Ha/atom
**V**: 30.0 Å³ per atom

---

[3]
Material: MnAgSe2
Method: DFT, PBE-GGA
State: optimized geometry

a = 6.3859 Å, b = 3.3545 Å, c = 7.9757 Å
α = 90.00°, β = 99.93°, γ = 90.00°
Last column: nearest neighbours and their distance in Å.
Sites, in units of the cell vectors:
1 Mn 0.0000 0.0000 0.0000  5 Se 2.33-2.47
2 Mn 0.2760 0.5000 0.1867  5 Se 2.39-2.45
3 Ag 0.1613 0.5000 0.5409  3 Se 2.63-2.80
4 Ag 0.5557 0.0000 0.7304  4 Se 2.63-2.80
5 Se 0.3636 0.0000 0.9968  3 Mn 2.33-2.39
6 Se 0.4316 0.0000 0.3957  2 Mn 2.45, 1 Ag 2.65
7 Se 0.9018 0.5000 0.1875  3 Mn 2.39-2.40
8 Se 0.9118 0.5000 0.7710  2 Mn 2.47, 1 Ag 2.63

**Theoretical density**: 6.329 Mg/m³
**Magnetic moment**: 3.75 μB/cell
**Space-group type**: Pm
**Uncorrected formation energy**: -0.915 eV/f.u.
**DFT total energy**: -0.1829 Ha/atom
**V**: 21.0 Å³ per atom

---

V of number 1 (Ca6PH8)? 16.3 Å³ per atom

---

What is the formula in the third record? MnAgSe2